Record 1
# HoMgBi2O6 | Alexandria via LeMat-Bulk | PBE-GGA | optimized geometry
# Theoretical density: 7.56 g/cm³
# Crystal system: orthorhombic
# Formation energy (no corrections): -1.952 eV per atom
# Spin magnetization: 0.00 μB per formula unit
# N(E_F): 3.12 states/eV/f.u.
# Space-group type: Pmn2_1, No. 31
data_HoMgBi2O6
_chemical_formula_sum 'Ho2 Mg2 Bi4 O12'
_symmetry_space_group_name_H-M 'P 1'
_symmetry_Int_Tables_number 1
_cell_length_a 5.6605
_cell_length_b 6.3742
_cell_length_c 8.5605
_cell_angle_alpha 90.00
_cell_angle_beta 90.00
_cell_angle_gamma 90.00
loop_
_symmetry_equiv_pos_as_xyz
'x,y,z'
loop_
_atom_site_label
_atom_site_fract_x
_atom_site_fract_y
_atom_site_fract_z
O1 0.1507 0.9015 0.1807
O2 0.6507 0.0985 0.3193
O3 0.3626 0.6816 0.5000
O4 0.8626 0.3184 0.0000
O5 0.2960 0.4720 0.8322
O6 0.7960 0.5280 0.3322
O7 0.1507 0.9015 0.8193
O8 0.7960 0.5280 0.6678
O9 0.1525 0.2715 0.5000
O10 0.6525 0.7285 0.0000
O11 0.2960 0.4720 0.1678
O12 0.6507 0.0985 0.6807
Bi1 0.5067 0.7794 0.2595
Bi2 0.0067 0.2206 0.2405
Bi3 0.0067 0.2206 0.7595
Bi4 0.5067 0.7794 0.7405
Mg1 0.5320 0.4160 0.0000
Mg2 0.0320 0.5840 0.5000
Ho1 0.0423 0.6664 0.0000
Ho2 0.5423 0.3336 0.5000

***

Record 2
# UPaSN | Alexandria via LeMat-Bulk | PBE-GGA | optimized geometry
# Theoretical density: 12.12 g/cm³
# Crystal system: trigonal
# Formation energy (no corrections): -1.432 eV per atom
# Spin magnetization: 2.29 μB per formula unit
# N(E_F): 5.70 states/eV/f.u.
# Space-group type: R3m, No. 160
data_UPaSN
_chemical_formula_sum 'U1 Pa1 S1 N1'
_symmetry_space_group_name_H-M 'P 1'
_symmetry_Int_Tables_number 1
_cell_length_a 3.5693
_cell_length_b 3.5686
_cell_length_c 6.7197
_cell_angle_alpha 74.61
_cell_angle_beta 105.41
_cell_angle_gamma 119.95
loop_
_symmetry_equiv_pos_as_xyz
'x,y,z'
loop_
_atom_site_label
_atom_site_fract_x
_atom_site_fract_y
_atom_site_fract_z
U1 0.5837 0.3936 0.5845
S1 0.3434 0.6338 0.8641
Pa1 0.1063 0.8708 0.1532
N1 0.8446 0.1326 0.3678

***

Record 3
# ZrBeAs2 | Alexandria via LeMat-Bulk | PBE-GGA | optimized geometry
# Theoretical density: 5.36 g/cm³
# DFT formation energy: -0.083 eV per atom
# Crystal system: tetragonal
# Spin magnetization: 0.00 μB per formula unit
# N(E_F): 3.46 states/eV/f.u.
# Space-group type: P4mm, No. 99
data_ZrBeAs2
_chemical_formula_sum 'Zr1 Be1 As2'
_symmetry_space_group_name_H-M 'P 1'
_symmetry_Int_Tables_number 1
_cell_length_a 3.0058
_cell_length_b 3.0058
_cell_length_c 8.5806
_cell_angle_alpha 90.00
_cell_angle_beta 90.00
_cell_angle_gamma 90.00
loop_
_symmetry_equiv_pos_as_xyz
'x,y,z'
loop_
_atom_site_label
_atom_site_fract_x
_atom_site_fract_y
_atom_site_fract_z
Be1 0.0000 0.0000 0.4935
As1 0.5000 0.5000 0.3580
As2 0.0000 0.0000 0.9469
Zr1 0.5000 0.5000 0.7016

***

Record 4
# GaBiS2 | Alexandria via LeMat-Bulk | PBE-GGA | optimized geometry
# Theoretical density: 6.12 g/cm³
# Crystal system: monoclinic
# Formation energy (no corrections): -0.415 eV per atom
# Spin magnetization: 0.00 μB per formula unit
# N(E_F): 0.38 states/eV/f.u.
# Space-group type: C2/c, No. 15
data_GaBiS2
_chemical_formula_sum 'Ga2 Bi2 S4'
_symmetry_space_group_name_H-M 'P 1'
_symmetry_Int_Tables_number 1
_cell_length_a 3.6019
_cell_length_b 6.2422
_cell_length_c 8.5244
_cell_angle_alpha 83.06
_cell_angle_beta 77.83
_cell_angle_gamma 90.02
loop_
_symmetry_equiv_pos_as_xyz
'x,y,z'
loop_
_atom_site_label
_atom_site_fract_x
_atom_site_fract_y
_atom_site_fract_z
Ga1 0.5373 0.6709 0.3019
Ga2 0.0373 0.1710 0.3019
S1 0.4466 0.9772 0.4641
S2 0.1088 0.8644 0.1398
S3 0.9661 0.4772 0.4641
S4 0.6282 0.3644 0.1399
Bi1 0.2313 0.9205 0.8020
Bi2 0.8439 0.4205 0.8019

***

Record 5
# NpPa2BeO8 | Alexandria via LeMat-Bulk | PBE-GGA | optimized geometry
# Theoretical density: 10.10 g/cm³
# Crystal system: trigonal
# Formation energy (no corrections): -2.760 eV per atom
# Spin magnetization: 3.00 μB per formula unit
# N(E_F): 10.27 states/eV/f.u.
# Space-group type: P-3m1, No. 164
data_NpPa2BeO8
_chemical_formula_sum 'Np1 Pa2 Be1 O8'
_symmetry_space_group_name_H-M 'P 1'
_symmetry_Int_Tables_number 1
_cell_length_a 5.1401
_cell_length_b 5.1401
_cell_length_c 6.0082
_cell_angle_alpha 90.00
_cell_angle_beta 90.00
_cell_angle_gamma 120.00
loop_
_symmetry_equiv_pos_as_xyz
'x,y,z'
loop_
_atom_site_label
_atom_site_fract_x
_atom_site_fract_y
_atom_site_fract_z
O1 0.6667 0.3333 0.4418
O2 0.3222 0.1611 0.8210
O3 0.1611 0.8389 0.1790
O4 0.6778 0.8389 0.1790
O5 0.8389 0.1611 0.8210
O6 0.1611 0.3222 0.1790
O7 0.8389 0.6778 0.8210
O8 0.3333 0.6667 0.5582
Np1 0.0000 0.0000 0.5000
Pa1 0.6667 0.3333 0.1244
Pa2 0.3333 0.6667 0.8756
Be1 0.0000 0.0000 0.0000

***

Record 6
# NbCrH3 | Alexandria via LeMat-Bulk | PBE-GGA | optimized geometry
# Theoretical density: 5.25 g/cm³
# Crystal system: cubic
# Energy above the most stable polymorph in this dataset: 217.2 meV per atom
# Spin magnetization: 2.91 μB per formula unit
# N(E_F): 2.29 states/eV/f.u.
# Space-group type: Pm-3m, No. 221
data_NbCrH3
_chemical_formula_sum 'Nb1 Cr1 H3'
_symmetry_space_group_name_H-M 'P 1'
_symmetry_Int_Tables_number 1
_cell_length_a 3.6025
_cell_length_b 3.6025
_cell_length_c 3.6025
_cell_angle_alpha 90.00
_cell_angle_beta 90.00
_cell_angle_gamma 90.00
loop_
_symmetry_equiv_pos_as_xyz
'x,y,z'
loop_
_atom_site_label
_atom_site_fract_x
_atom_site_fract_y
_atom_site_fract_z
H1 0.5000 0.0000 0.0000
H2 0.0000 0.5000 0.0000
H3 0.0000 0.0000 0.5000
Cr1 0.5000 0.5000 0.5000
Nb1 0.0000 0.0000 0.0000